Entry 1:
Density functional theory data (PBE-GGA) for MgNbRu2 after structural relaxation. Values from VASP.

Cell and atoms, written as Quantum ESPRESSO input:
```
&SYSTEM
  ibrav = 0, nat = 4, ntyp = 3
/
ATOMIC_SPECIES
Mg 24.30 Mg.upf
Nb 92.91 Nb.upf
Ru 101.07 Ru.upf
CELL_PARAMETERS angstrom
3.1925 0.0000 0.0000
0.0000 4.3990 0.0000
0.0000 0.0000 4.3990
ATOMIC_POSITIONS angstrom
Mg 1.5962 2.1995 2.1995
Nb 1.5962 0.0000 0.0000
Ru 0.0000 2.1995 0.0000
Ru 0.0000 0.0000 2.1995
```

Output
V = 15.4 Å³ per atom
calculated formation energy = -0.23 eV per atom
Fermi-level density of states = 2.53 states/eV per cell
density = 8.58 g/cm3
space-group type = P4/mmm (123)

***

Entry 2:
Density functional theory data (PBE-GGA) for RbSe2N after structural relaxation. Values from VASP.

Cell and atoms, written as Quantum ESPRESSO input:
```
&SYSTEM
  ibrav = 0, nat = 8, ntyp = 3
/
ATOMIC_SPECIES
Se 78.96 Se.upf
N 14.01 N.upf
Rb 85.47 Rb.upf
CELL_PARAMETERS angstrom
5.7216 0.0000 0.0000
0.0000 5.7216 0.0000
2.8608 2.8608 6.4335
ATOMIC_POSITIONS angstrom
Se 2.8608 1.4304 1.6084
N 2.8608 2.8608 0.0000
Rb 5.7216 2.8608 3.2168
Se 2.8608 4.2912 1.6084
Se 7.1521 5.7216 4.8251
N 2.8608 5.7216 3.2168
Rb 0.0000 0.0000 0.0000
Se 4.2912 5.7216 4.8251
```

Output
E_form (uncorrected) = 0.2245 eV per atom
V = 26.3 Å³ per atom
Fermi-level density of states = 3.59 states/eV per cell
density = 4.06 g/cm3
space-group type = I4_1/amd (141)

***

Entry 3:
Density functional theory data (PBE-GGA) for CaMg6B after structural relaxation. Values from VASP.

Cell and atoms, written as Quantum ESPRESSO input:
```
&SYSTEM
  ibrav = 0, nat = 8, ntyp = 3
/
ATOMIC_SPECIES
B 10.81 B.upf
Ca 40.08 Ca.upf
Mg 24.30 Mg.upf
CELL_PARAMETERS angstrom
3.0739 -7.3746 0.0000
3.0739 7.3746 0.0000
0.0000 0.0000 4.0203
ATOMIC_POSITIONS angstrom
B 3.0739 1.5020 2.0101
Ca 3.0739 4.0986 0.0000
Mg 1.6786 1.2999 0.0000
Mg 4.4691 1.2999 0.0000
Mg 1.4965 -0.7228 2.0101
Mg 3.0739 -2.2351 0.0000
Mg 3.0739 -4.5196 2.0101
Mg 4.6512 -0.7228 2.0101
```

Output
V = 22.8 Å³ per atom
calculated formation energy = 0.27 eV per atom
Fermi-level density of states = 3.69 states/eV per cell
density = 1.79 g/cm3
space-group type = Amm2 (38)

***

Entry 4:
Density functional theory data (PBE-GGA) for Pr4ZnCo after structural relaxation. Values from VASP.

Cell and atoms, written as Quantum ESPRESSO input:
```
&SYSTEM
  ibrav = 0, nat = 12, ntyp = 3
/
ATOMIC_SPECIES
Pr 140.91 Pr.upf
Co 58.93 Co.upf
Zn 65.41 Zn.upf
CELL_PARAMETERS angstrom
8.0330 0.0837 0.0000
-3.1673 7.3827 0.0000
-2.4329 -3.7332 6.6844
ATOMIC_POSITIONS angstrom
Pr -2.5287 4.5674 4.6123
Co 3.6458 5.5943 0.0000
Zn 1.2187 1.8701 0.0000
Pr 3.6160 3.2224 1.2701
Pr -0.4005 3.1806 2.0721
Zn -2.7978 1.8283 3.3422
Pr -2.1810 6.4810 1.3186
Pr 5.0028 -0.8599 2.0235
Pr 1.2097 4.2714 5.3657
Co -0.3707 5.5525 3.3422
Pr 2.7933 0.5800 4.6608
Pr -0.9451 0.8761 5.4143
```

Output
energy relative to the lowest polymorph listed for this composition = 0.216 eV/atom
V = 33.2 Å³ per atom
calculated formation energy = 0.08 eV per atom
Fermi-level density of states = 17.33 states/eV per cell
density = 5.74 g/cm3
space-group type = I4_1md (109)

***

Entry 5:
Density functional theory data (PBE-GGA) for AcPm4As5 after structural relaxation. Values from VASP.

Cell and atoms, written as Quantum ESPRESSO input:
```
&SYSTEM
  ibrav = 0, nat = 10, ntyp = 3
/
ATOMIC_SPECIES
Pm 145.00 Pm.upf
As 74.92 As.upf
Ac 227.00 Ac.upf
CELL_PARAMETERS angstrom
-3.6132 -2.1150 0.9863
-1.2934 -0.5561 -5.9309
7.8292 -7.9877 2.1741
ATOMIC_POSITIONS angstrom
Pm 2.1785 -3.7780 -0.1209
As -0.6467 -0.2780 -2.9654
As 1.4979 -3.9973 -3.0844
As -0.6652 -3.0369 0.4298
Pm -1.3574 -3.2361 -2.5331
Pm 4.2800 -7.4226 -0.2375
Pm 0.7442 -6.8807 -2.6497
As 3.5878 -7.6218 -3.2004
Ac 0.0000 0.0000 0.0000
As 1.4247 -6.6614 0.3138
```

Output
V = 28.2 Å³ per atom
calculated formation energy = -1.49 eV per atom
Fermi-level density of states = 1.48 states/eV per cell
density = 6.95 g/cm3
space-group type = Immm (71)

***

Entry 6:
Density functional theory data (PBE-GGA) for Cr2SbAs after structural relaxation. Values from VASP.

Cell and atoms, written as Quantum ESPRESSO input:
```
&SYSTEM
  ibrav = 0, nat = 4, ntyp = 3
/
ATOMIC_SPECIES
Cr 52.00 Cr.upf
As 74.92 As.upf
Sb 121.76 Sb.upf
CELL_PARAMETERS angstrom
5.3039 0.0000 0.0000
0.0000 3.7695 -0.3621
0.0000 0.3339 3.7781
ATOMIC_POSITIONS angstrom
Cr 2.6519 1.3345 1.1008
As 2.6519 3.4608 2.8724
Sb 0.0000 1.7049 1.4294
Cr 0.0000 3.7582 3.1373
```

Output
E_form (uncorrected) = 0.1762 eV per atom
V = 19.0 Å³ per atom
Fermi-level density of states = 1.67 states/eV per cell
density = 6.55 g/cm3
space-group type = Pm (6)

***

Entry 7:
Density functional theory data (PBE-GGA) for La2TlCdRu after structural relaxation. Values from VASP.

Cell and atoms, written as Quantum ESPRESSO input:
```
&SYSTEM
  ibrav = 0, nat = 5, ntyp = 4
/
ATOMIC_SPECIES
Tl 204.38 Tl.upf
Cd 112.41 Cd.upf
Ru 101.07 Ru.upf
La 138.91 La.upf
CELL_PARAMETERS angstrom
-4.9482 -0.7605 2.0321
0.5608 -5.3366 -0.6317
2.0865 -0.3660 4.9435
ATOMIC_POSITIONS angstrom
Tl 1.0432 -0.1830 2.4718
Cd -1.1505 -3.2315 3.1720
Ru 0.0000 0.0000 0.0000
La -2.4741 -0.3803 1.0161
La 0.2804 -2.6683 -0.3159
```

Output
energy relative to the lowest polymorph listed for this composition = 0.000 eV/atom
V = 31.4 Å³ per atom
calculated formation energy = -0.24 eV per atom
Fermi-level density of states = 3.94 states/eV per cell
density = 7.36 g/cm3
space-group type = P4/mmm (123)

***

Entry 8:
Density functional theory data (PBE-GGA) for La4TbPm2Nd after structural relaxation. Values from VASP.

Cell and atoms, written as Quantum ESPRESSO input:
```
&SYSTEM
  ibrav = 0, nat = 8, ntyp = 4
/
ATOMIC_SPECIES
Tb 158.93 Tb.upf
Pm 145.00 Pm.upf
La 138.91 La.upf
Nd 144.24 Nd.upf
CELL_PARAMETERS angstrom
-5.0688 -1.3953 0.3802
1.3220 -5.0103 -0.7626
2.4300 -6.2738 9.3725
ATOMIC_POSITIONS angstrom
Tb -1.8734 -3.2028 -0.1912
Pm 2.4300 -6.2738 9.3725
La 2.8163 -8.4671 6.4743
Pm -1.3194 -3.8346 4.8763
Nd 1.8760 -5.6420 4.3050
La -4.1332 -4.2123 2.5158
La -0.9377 -6.0205 1.9430
La -0.3791 -6.6588 7.0471
```

Output
V = 35.5 Å³ per atom
calculated formation energy = 0.01 eV per atom
Fermi-level density of states = 12.52 states/eV per cell
density = 6.73 g/cm3
space-group type = P2/m (10)

***

Entry 9:
Density functional theory data (PBE-GGA) for RhW5 after structural relaxation. Values from VASP.

Cell and atoms, written as Quantum ESPRESSO input:
```
&SYSTEM
  ibrav = 0, nat = 6, ntyp = 2
/
ATOMIC_SPECIES
Rh 102.91 Rh.upf
W 183.84 W.upf
CELL_PARAMETERS angstrom
1.9762 4.4688 0.1092
-4.4820 -0.7348 1.8052
1.8280 -0.9102 4.1680
ATOMIC_POSITIONS angstrom
Rh 0.9140 -0.4551 2.0840
W -0.8342 1.2431 0.6373
W -1.4153 0.5447 3.3239
W -2.9899 -0.4902 1.2043
W 1.3183 2.9811 0.0728
W 0.7374 2.2792 2.7585
```

Output
energy relative to the lowest polymorph listed for this composition = 0.186 eV/atom
V = 16.0 Å³ per atom
calculated formation energy = 0.31 eV per atom
Fermi-level density of states = 6.58 states/eV per cell
density = 17.68 g/cm3
space-group type = P-62m (189)

***

Entry 10:
Density functional theory data (PBE-GGA) for Ac3InAs2Rh9 after structural relaxation. Values from VASP.

Cell and atoms, written as Quantum ESPRESSO input:
```
&SYSTEM
  ibrav = 0, nat = 15, ntyp = 4
/
ATOMIC_SPECIES
Rh 102.91 Rh.upf
In 114.82 In.upf
As 74.92 As.upf
Ac 227.00 Ac.upf
CELL_PARAMETERS angstrom
-5.8259 -1.2383 3.8689
6.4277 -0.6644 2.9472
-0.1825 7.1116 2.0012
ATOMIC_POSITIONS angstrom
Rh 3.2138 -0.3322 1.4736
In -0.0913 3.5558 1.0006
Rh -3.5950 3.4155 4.9710
As 2.3160 0.2036 3.5526
Ac 2.2191 3.9798 4.6152
Rh 0.3009 -0.9513 3.4081
Rh -1.1174 3.9421 3.3257
Rh -0.8615 3.1330 6.2244
As -1.8967 5.0053 5.2648
Rh 1.5367 1.2669 5.4917
Ac -1.7998 1.2292 4.2022
Ac 0.0000 0.0000 0.0000
Rh 1.2808 2.0760 2.5930
Rh -2.9129 -0.6191 1.9345
Rh 4.0143 1.7935 3.8464
```

Output
V = 21.5 Å³ per atom
calculated formation energy = -0.34 eV per atom
Fermi-level density of states = 7.21 states/eV per cell
density = 9.63 g/cm3
space-group type = P-3m1 (164)

***

Question: Among the records above, which one has the highest density?
Answer: RhW5